Computed, not measured: an optimized crystal structure of LaZn3Co at the PBE level of DFT. Values from VASP.

Calculated values
The energy above the most stable polymorph in this dataset is 0 meV per atom. The value obtained for the total energy is -3.361 eV/atom. The value obtained for the formation energy is -190 meV/atom.

Geometry as Quantum ESPRESSO input:
```
&SYSTEM
  ibrav = 0, nat = 10, ntyp = 3
/
ATOMIC_SPECIES
La 138.91 La.upf
Zn 65.41 Zn.upf
Co 58.93 Co.upf
ATOMIC_POSITIONS angstrom
La -0.646 -0.899 0.714
Zn -0.417 -0.118 6.016
Co -5.855 -2.062 3.967
Zn 0.164 -1.297 3.745
Zn -0.040 -3.237 5.500
Zn -3.870 -1.620 2.726
La -3.059 -2.018 5.758
Zn -2.043 0.101 3.492
Co -2.078 1.609 5.441
Zn -1.663 -3.018 2.979
CELL_PARAMETERS angstrom
-4.227 2.465 2.936
-3.418 -4.177 1.838
3.248 -0.438 5.045
```